Entry from Alexandria via LeMat-Bulk: CoPdF after structural relaxation (PBE+U).

Total energy: -4.8247 eV/atom
Symmetry: No. 8
Energy above the most stable polymorph in this dataset: 0.047 eV per atom

Unit cell a=2.8717 b=2.8717 c=6.0787 alpha=103.48 beta=103.48 gamma=60.01
Positions (direct):
1 Co 0.0000 0.0000 0.0000
2 Pd 0.5542 0.5542 0.6589
3 F 0.4038 0.4038 0.2143